#one
KP2PdO: optimized geometry, PBE-GGA.

Cell: 5.2503 5.2503 3.9698 Å, 90.00 90.00 90.00°
Space group P4/mmm (No. 123)
Inequivalent atoms, fractional coordinates:
K 0.0000 0.0000 0.0000 x1
P 0.0000 0.5000 0.0000 x2
Pd 0.5000 0.5000 0.5000 x1
O 0.0000 0.0000 0.5000 x1

---

#two
KP2PdO: optimized geometry, PBE-GGA.

Cell: 4.6113 4.6113 4.7367 Å, 90.00 90.00 90.00°
Space group P4/mmm (No. 123)
Inequivalent atoms, fractional coordinates:
K 0.0000 0.0000 0.0000 x1
P 0.0000 0.5000 0.5000 x2
Pd 0.5000 0.5000 0.5000 x1
O 0.5000 0.5000 0.0000 x1

---

Short version: #two, #one, most stable first.

---

#one
KP2PtO: optimized geometry, PBE-GGA.

Cell: 5.1235 5.1235 3.9004 Å, 90.00 90.00 90.00°
Space group P4/mmm (No. 123)
Inequivalent atoms, fractional coordinates:
K 0.0000 0.0000 0.0000 x1
P 0.0000 0.5000 0.0000 x2
Pt 0.5000 0.5000 0.5000 x1
O 0.0000 0.0000 0.5000 x1

---

#two
KP2PtO: optimized geometry, PBE-GGA.

Cell: 4.6072 4.6072 4.8038 Å, 90.00 90.00 90.00°
Space group P4/mmm (No. 123)
Inequivalent atoms, fractional coordinates:
K 0.0000 0.0000 0.0000 x1
P 0.0000 0.5000 0.5000 x2
Pt 0.5000 0.5000 0.5000 x1
O 0.5000 0.5000 0.0000 x1

---

Short version: #two, #one, most stable first.

---

#one
KSbPO2: optimized geometry, PBE-GGA.

Cell: 4.1981 4.1981 5.1901 Å, 90.00 90.00 90.00°
Space group P4/mmm (No. 123)
Inequivalent atoms, fractional coordinates:
K 0.0000 0.0000 0.0000 x1
Sb 0.5000 0.5000 0.5000 x1
P 0.5000 0.5000 0.0000 x1
O 0.0000 0.5000 0.5000 x2

---

#two
KSbPO2: optimized geometry, PBE-GGA.

Cell: 4.4361 4.4361 5.9415 Å, 90.00 90.00 90.00°
Space group P4/mmm (No. 123)
Inequivalent atoms, fractional coordinates:
K 0.0000 0.0000 0.0000 x1
Sb 0.5000 0.5000 0.5000 x1
P 0.0000 0.0000 0.5000 x1
O 0.0000 0.5000 0.0000 x2

---

Short version: #one, #two, most stable first.